# Er2SbN

Crystalline Er2SbN at its relaxed geometry (PBE, the Alexandria database).

Output
Crystal system   trigonal
Energy relative to the elements, uncorrected   -1.197 eV per atom
ΔE to the lowest computed polymorph   18.5 kJ per mole of atoms
VASP energy   -6.5907 eV/atom
Density of states at the Fermi level   0.736 states/eV per atom
V   20.113 A^3/atom

Cell: 3.5467 3.5467 7.6637 Å, 76.62 76.62 60.00°
Closest atoms and distances in Å follow each position.
Fractional positions:
Sb 0.5000 0.5000 0.5000  6 Er 3.17, 6 Sb 3.55
N 0.0000 0.0000 0.0000  6 Er 2.41
Er 0.7242 0.7242 0.8273  3 N 2.41
Er 0.2758 0.2758 0.1727  3 N 2.41

=====

# Er2SbN

Crystalline Er2SbN at its relaxed geometry (PBE, the Alexandria database).

Output
Crystal system   tetragonal
Energy relative to the elements, uncorrected   -1.389 eV per atom
ΔE to the lowest computed polymorph   0.0 kJ per mole of atoms
VASP energy   -6.7828 eV/atom
Density of states at the Fermi level   0.127 states/eV per atom
V   22.190 A^3/atom

Cell: 4.4757 4.4757 8.8615 Å, 90.01 90.01 90.00°
Closest atoms and distances in Å follow each position.
Fractional positions:
Er 0.7502 0.7502 0.8244  1 N 2.19
Er 0.7500 0.2500 0.5000  4 N 2.34
Er 0.2498 0.2498 0.1756  1 N 2.19
Er 0.2500 0.7500 0.5000  4 N 2.34
Sb 0.2502 0.2502 0.8120  5 Er 3.17-3.22, 1 N 3.45
Sb 0.7498 0.7498 0.1880  5 Er 3.17-3.22, 1 N 3.45
N 0.2499 0.2499 0.4226  5 Er 2.19-2.34
N 0.7501 0.7501 0.5774  5 Er 2.19-2.34

=====

# Er2Sc4Sb3N2

Crystalline Er2Sc4Sb3N2 at its relaxed geometry (PBE, the Alexandria database).

Output
Crystal system   tetragonal
Energy relative to the elements, uncorrected   -1.237 eV per atom
VASP energy   -7.0072 eV/atom
Density of states at the Fermi level   0.579 states/eV per atom
V   21.120 A^3/atom

Cell: 4.3760 4.3760 12.5201 Å, 100.06 100.06 90.00°
Closest atoms and distances in Å follow each position.
Fractional positions:
Er 0.3084 0.3084 0.6167  1 N 2.31
Er 0.6916 0.6916 0.3833  1 N 2.31
Sc 0.4168 0.9168 0.8336  2 N 2.21
Sc 0.9168 0.4168 0.8336  2 N 2.21
Sc 0.0832 0.5832 0.1664  2 N 2.21
Sc 0.5832 0.0832 0.1664  2 N 2.21
Sb 0.0000 0.0000 0.0000  8 Sc 2.98
Sb 0.1780 0.1780 0.3560  5 Er 3.11-3.16, 4 Sc 3.17
Sb 0.8220 0.8220 0.6440  5 Er 3.11-3.16, 4 Sc 3.17
N 0.4035 0.4035 0.8070  4 Sc 2.21, 1 Er 2.31
N 0.5965 0.5965 0.1930  4 Sc 2.21, 1 Er 2.31

=====

# Sm2Er4Sb3N2

Crystalline Sm2Er4Sb3N2 at its relaxed geometry (PBE, the Alexandria database).

Output
Crystal system   tetragonal
Energy relative to the elements, uncorrected   -1.211 eV per atom
VASP energy   -6.3658 eV/atom
Density of states at the Fermi level   0.522 states/eV per atom
V   24.415 A^3/atom

Cell: 4.6121 4.6121 13.0400 Å, 100.19 100.19 90.00°
Closest atoms and distances in Å follow each position.
Fractional positions:
Sm 0.3066 0.3066 0.6133  1 N 2.41
Sm 0.6934 0.6934 0.3867  1 N 2.41
Er 0.4171 0.9171 0.8342  2 N 2.34
Er 0.9171 0.4171 0.8342  2 N 2.34
Er 0.0829 0.5829 0.1658  2 N 2.34
Er 0.5829 0.0829 0.1658  2 N 2.34
Sb 0.0000 0.0000 0.0000  8 Er 3.11
Sb 0.1768 0.1768 0.3537  5 Sm 3.28-3.29, 4 Er 3.31
Sb 0.8232 0.8232 0.6463  5 Sm 3.28-3.29, 4 Er 3.31
N 0.4023 0.4023 0.8045  4 Er 2.34, 1 Sm 2.41
N 0.5977 0.5977 0.1955  4 Er 2.34, 1 Sm 2.41